# 1
VASP calculation (PBE-GGA) on crystalline Ho4TiRh5 at its relaxed geometry.

```
Ho4TiRh5
1.0
3.2964 0.0000 0.0000
0.0000 3.2964 0.0000
0.0000 0.0000 17.3367
Rh Ho Ti
5 4 1
Cartesian
1.6482 1.6482 5.0835
1.6482 1.6482 12.2533
1.6482 1.6482 8.6684
1.6482 1.6482 15.9032
1.6482 1.6482 1.4336
0.0000 0.0000 6.8869
0.0000 0.0000 14.0106
0.0000 0.0000 10.4498
0.0000 0.0000 3.3261
0.0000 0.0000 0.0000
```

Values from the calculation:
Crystal system: tetragonal
Total energy (eV per cell): -71.4
Total moment (μB per atom): 0.00
DOS(E_F) (states/eV/atom): 0.5264

***

# 2
VASP calculation (PBE-GGA) on crystalline Ho2TiRh at its relaxed geometry.

```
Ho2TiRh
1.0
3.4305 0.0000 0.0000
0.0000 3.4305 0.0000
0.0000 0.0000 7.4332
Rh Ti Ho
1 1 2
Cartesian
1.7152 1.7152 0.0000
1.7152 1.7152 3.7166
0.0000 0.0000 5.7741
0.0000 0.0000 1.6591
```

Values from the calculation:
Crystal system: tetragonal
Total energy (eV per cell): -25.5
Total moment (μB per atom): 0.00
DOS(E_F) (states/eV/atom): 1.2991

***

# 3
VASP calculation (PBE-GGA) on crystalline HoTiZnRh at its relaxed geometry.

```
HoTiZnRh
1.0
-3.8183 1.3847 2.3370
-4.2310 -1.5331 -1.3065
-2.3262 -3.0426 2.7000
Ti Zn Ho Rh
1 1 1 1
Cartesian
-2.5939 -0.7978 0.9326
-5.1878 -1.5955 1.8653
-7.7817 -2.3933 2.7979
0.0000 0.0000 0.0000
```

Values from the calculation:
Crystal system: cubic
Total energy (eV per cell): -22.7
Total moment (μB per atom): 0.17
DOS(E_F) (states/eV/atom): 0.8875

***

# 4
VASP calculation (PBE-GGA) on crystalline Ho2Ti2ZnRh5 at its relaxed geometry.

```
Ho2Ti2ZnRh5
1.0
-1.4454 2.8990 0.0827
-2.9882 -1.7673 9.7285
8.7487 4.2631 3.4617
Rh Zn Ti Ho
10 2 4 4
Cartesian
3.7248 3.4434 7.8799
0.5903 1.9515 5.3930
-2.2168 0.5659 4.9056
3.6516 3.5811 1.7722
1.0641 2.1028 8.3713
6.1173 4.7648 3.3711
3.2509 3.2921 4.9016
-1.8022 0.6301 9.9018
5.1316 4.0529 11.1012
-0.8166 1.3420 2.1717
2.8802 1.2479 6.5951
0.0000 0.0000 0.0000
0.0540 -0.0882 4.0376
5.1341 2.4608 3.4707
5.7064 2.5841 9.1526
0.6263 0.0351 9.7195
-0.4958 -0.4511 7.1501
2.3403 1.0865 2.8169
3.4201 1.4094 10.3733
6.2563 2.9470 6.0401
```

Values from the calculation:
Crystal system: tetragonal
Total energy (eV per cell): -137.7
Total moment (μB per atom): 0.00
DOS(E_F) (states/eV/atom): 0.6609

***

# 5
VASP calculation (PBE-GGA) on crystalline Ho2TlRh at its relaxed geometry.

```
Ho2TlRh
1.0
3.8918 0.0000 0.0000
1.9459 3.3704 0.0000
1.9459 1.1235 8.1369
Tl Rh Ho
1 1 2
Cartesian
3.8918 2.2469 4.0646
3.8918 2.2469 0.0113
1.9459 1.1235 1.5826
1.9459 1.1235 6.5468
```

Values from the calculation:
Crystal system: trigonal
Total energy (eV per cell): -20.9
Total moment (μB per atom): 0.00
DOS(E_F) (states/eV/atom): 0.5188
ΔE to the lowest computed polymorph (kJ/mol of atoms): 11.0

***

# 6
VASP calculation (PBE-GGA) on crystalline Ho4TlRh at its relaxed geometry.

```
Ho4TlRh
1.0
8.3370 0.0000 4.8134
2.7790 7.8602 4.8134
0.0000 0.0000 9.6268
Ho Tl Rh
16 4 4
Cartesian
9.3881 4.4088 12.6197
10.4391 7.3816 14.4402
7.2860 7.3816 16.2606
4.4481 3.1453 7.7044
9.3881 4.4088 16.2606
3.8292 6.3750 12.6211
9.0156 6.3750 9.6268
7.2860 7.3816 12.6197
7.7778 3.1453 9.6268
4.4481 3.1453 11.5491
3.8292 6.3750 6.6324
7.2868 1.4853 12.6211
7.2868 1.4853 6.6324
2.1005 1.4853 9.6268
5.5580 6.2845 9.6268
6.2349 4.4088 14.4402
1.8233 1.2893 6.4687
2.7790 3.9924 4.8134
4.6904 1.2893 4.8134
1.8233 1.2893 3.1580
5.5580 1.3936 9.6268
6.7538 4.7756 11.6979
6.7538 4.7756 7.5557
3.1666 4.7756 9.6268
```

Values from the calculation:
Crystal system: cubic
Total energy (eV per cell): -124.5
Total moment (μB per atom): 0.00
DOS(E_F) (states/eV/atom): 0.6301
ΔE to the lowest computed polymorph (kJ/mol of atoms): 0.0

***

Sequential energy relative to the elements output: -0.84; -0.28; -0.40; -0.59; -0.52; -0.52 eV per atom